No. 1
# KHOs3 | Alexandria | GGA-PBEsol | optimized geometry
data_KHOs3
_chemical_formula_sum 'K1 H1 Os3'
_cell_length_a 4.062
_cell_length_b 4.062
_cell_length_c 4.062
_cell_angle_alpha 90.00
_cell_angle_beta 90.00
_cell_angle_gamma 90.00
_symmetry_space_group_name_H-M 'P m -3 m'
_symmetry_Int_Tables_number 221
_symmetry_space_group_name_Hall '-P 4 2 3'
loop_
_atom_site_label
_atom_site_type_symbol
_atom_site_fract_x
_atom_site_fract_y
_atom_site_fract_z
K1 K 0.000 0.000 0.000
H1 H 0.500 0.500 0.500
Os1 Os 0.000 0.500 0.500
# * final energy: -0.2418 hartree per atom
# * volume: 13.4 A^3/atom
# * crystal system: cubic

---

No. 2
# Tc2C | Alexandria | GGA-PBEsol | optimized geometry
data_Tc2C
_chemical_formula_sum 'Tc4 C2'
_cell_length_a 2.791
_cell_length_b 3.993
_cell_length_c 6.418
_cell_angle_alpha 90.00
_cell_angle_beta 90.00
_cell_angle_gamma 90.00
_symmetry_space_group_name_H-M 'I m m m'
_symmetry_Int_Tables_number 71
_symmetry_space_group_name_Hall '-I 2 2'
loop_
_atom_site_label
_atom_site_type_symbol
_atom_site_fract_x
_atom_site_fract_y
_atom_site_fract_z
Tc1 Tc 0.000 0.000 0.182
C1 C 0.000 0.000 0.500
# * E_form: 0.96 eV per atom
# * volume: 11.9 A^3/atom
# * crystal system: orthorhombic

---

No. 3
# Hf2ReNi | Alexandria | GGA-PBEsol | optimized geometry
data_Hf2ReNi
_chemical_formula_sum 'Hf8 Re4 Ni4'
_cell_length_a 6.391
_cell_length_b 6.391
_cell_length_c 6.391
_cell_angle_alpha 90.00
_cell_angle_beta 90.00
_cell_angle_gamma 90.00
_symmetry_space_group_name_H-M 'F m -3 m'
_symmetry_Int_Tables_number 225
_symmetry_space_group_name_Hall '-F 4 2 3'
loop_
_atom_site_label
_atom_site_type_symbol
_atom_site_fract_x
_atom_site_fract_y
_atom_site_fract_z
Hf1 Hf 0.250 0.250 0.250
Re1 Re 0.000 0.000 0.000
Ni1 Ni 0.000 0.000 0.500
# * E_form: -0.43 eV per atom
# * volume: 16.3 A^3/atom
# * crystal system: cubic

---

No. 4
# CdAg2Cl | Alexandria | GGA-PBEsol | optimized geometry
data_CdAg2Cl
_chemical_formula_sum 'Cd4 Ag8 Cl4'
_cell_length_a 6.785
_cell_length_b 6.785
_cell_length_c 6.785
_cell_angle_alpha 90.00
_cell_angle_beta 90.00
_cell_angle_gamma 90.00
_symmetry_space_group_name_H-M 'F -4 3 m'
_symmetry_Int_Tables_number 216
_symmetry_space_group_name_Hall 'F -4 2 3'
loop_
_atom_site_label
_atom_site_type_symbol
_atom_site_fract_x
_atom_site_fract_y
_atom_site_fract_z
Cd1 Cd 0.000 0.000 0.000
Ag1 Ag 0.000 0.000 0.500
Ag2 Ag 0.250 0.250 0.750
Cl1 Cl 0.250 0.250 0.250
# * volume: 19.5 A^3/atom
# * crystal system: cubic
# * formation energy without anion corrections: 18.38 kJ per mole of atoms

---

No. 5
# Sr2CrMoPt | Alexandria | GGA-PBEsol | optimized geometry
data_Sr2CrMoPt
_chemical_formula_sum 'Sr2 Cr1 Mo1 Pt1'
_cell_length_a 5.641
_cell_length_b 5.641
_cell_length_c 4.287
_cell_angle_alpha 90.00
_cell_angle_beta 90.00
_cell_angle_gamma 90.00
_symmetry_space_group_name_H-M 'P 4/m m m'
_symmetry_Int_Tables_number 123
_symmetry_space_group_name_Hall '-P 4 2'
loop_
_atom_site_label
_atom_site_type_symbol
_atom_site_fract_x
_atom_site_fract_y
_atom_site_fract_z
Sr1 Sr 0.000 0.500 0.000
Cr1 Cr 0.000 0.000 0.000
Mo1 Mo 0.000 0.000 0.500
Pt1 Pt 0.500 0.500 0.500
# * E_form: 1.05 eV per atom
# * volume: 27.3 A^3/atom
# * crystal system: tetragonal

---

No. 6
# Li2MgPd2 | Alexandria | GGA-PBEsol | optimized geometry
data_Li2MgPd2
_chemical_formula_sum 'Li4 Mg2 Pd4'
_cell_length_a 7.063
_cell_length_b 7.063
_cell_length_c 2.937
_cell_angle_alpha 90.00
_cell_angle_beta 90.00
_cell_angle_gamma 90.00
_symmetry_space_group_name_H-M 'P 4/m b m'
_symmetry_Int_Tables_number 127
_symmetry_space_group_name_Hall '-P 4 2ab'
loop_
_atom_site_label
_atom_site_type_symbol
_atom_site_fract_x
_atom_site_fract_y
_atom_site_fract_z
Li1 Li 0.153 0.347 0.000
Mg1 Mg 0.000 0.000 0.500
Pd1 Pd 0.143 0.643 0.500
# * E_form: -0.35 eV per atom
# * volume: 14.6 A^3/atom
# * crystal system: tetragonal